# PrTlPbAu (PBE, optimized geometry)
# ΔH_f (0 K) = -0.349 eV per atom
# E = -3.88 eV/atom
# N(E_F) = 0.435 states/eV/atom
data_PrTlPbAu
_symmetry_space_group_name_H-M 'F -4 3 m'
_symmetry_Int_Tables_number 216
_symmetry_space_group_name_Hall 'F -4 2 3'
_cell_length_a 7.566
_cell_length_b 7.566
_cell_length_c 7.566
_cell_angle_alpha 90.00
_cell_angle_beta 90.00
_cell_angle_gamma 90.00
loop_
_atom_site_label
_atom_site_type_symbol
_atom_site_fract_x
_atom_site_fract_y
_atom_site_fract_z
Pr1 Pr 0.000 0.000 0.000
Tl1 Tl 0.250 0.250 0.250
Pb1 Pb 0.000 0.000 0.500
Au1 Au 0.250 0.250 0.750